<a>
Below is CaSb3Te after structural relaxation, with properties calculated at the PBE level.

Summary:
Spin magnetization, μB/cell: 0.000

abc: 5.727 5.727 5.727
angles: 90.00 90.00 90.00
Space group Pm-3m (No. 221)
One atom of each set of equivalent atoms:
Ca 0.000 0.000 0.000
Sb 0.000 0.500 0.500
Te 0.500 0.500 0.500

=====

<b>
Below is CaSb3Te after structural relaxation, with properties calculated at the PBE level.

Summary:
Spin magnetization, μB/cell: 0.000

abc: 5.721 5.721 5.721
angles: 90.00 90.00 90.00
Space group Pm-3m (No. 221)
One atom of each set of equivalent atoms:
Ca 0.000 0.000 0.000
Sb 0.000 0.000 0.500
Te 0.500 0.500 0.500

=====

Which of them is the most stable? Correct choice: <a>.

=====

<a>
Below is CaYSbTe2 after structural relaxation, with properties calculated at the PBE level.

Summary:
Spin magnetization, μB/cell: 0.000

abc: 5.825 5.825 5.764
angles: 90.00 90.00 90.00
Space group P4/mmm (No. 123)
One atom of each set of equivalent atoms:
Ca 0.000 0.000 0.000
Y 0.500 0.500 0.500
Sb 0.500 0.500 0.000
Te 0.000 0.500 0.500

=====

<b>
Below is CaYSbTe2 after structural relaxation, with properties calculated at the PBE level.

Summary:
Spin magnetization, μB/cell: 0.000

abc: 5.689 5.689 5.589
angles: 90.00 90.00 90.00
Space group P4/mmm (No. 123)
One atom of each set of equivalent atoms:
Ca 0.000 0.000 0.000
Y 0.500 0.500 0.500
Sb 0.000 0.000 0.500
Te 0.000 0.500 0.000

=====

Which of them is the most stable? Correct choice: <a>.